DFT (GGA-PBE) results for a geometry-optimized Na2Mg3 structure.

Cell lengths 3.315, 7.522, 11.156 Å; angles 99.72, 91.30, 102.42 degrees
Fractional positions:
Na 0.000 0.000 0.000
Na 0.187 0.385 0.593
Na 0.594 0.197 0.798
Na 0.789 0.583 0.391
Mg 0.082 0.166 0.291
Mg 0.301 0.604 0.900
Mg 0.392 0.792 0.196
Mg 0.485 0.978 0.491
Mg 0.716 0.416 0.100
Mg 0.887 0.791 0.696

Calculated values
energy above the lowest structure with this stoichiometry: 11 meV/atom
energy of formation: 0.10 eV/atom
total magnetization: 0.00 μB per formula unit

=====

DFT (GGA-PBE) results for a geometry-optimized NaMg2 structure.

Cell lengths 11.076, 11.076, 11.076 Å; angles 158.70, 158.70, 30.30 degrees
Fractional positions:
Na 0.375 0.625 0.750
Na 0.625 0.375 0.250
Mg 0.051 0.801 0.250
Mg 0.199 0.949 0.250
Mg 0.801 0.051 0.750
Mg 0.949 0.199 0.750

Calculated values
energy of formation: 0.26 eV/atom
total magnetization: 0.00 μB per formula unit

=====

DFT (GGA-PBE) results for a geometry-optimized NaMg5 structure.

Cell lengths 5.312, 8.712, 8.712 Å; angles 21.29, 90.00, 90.00 degrees
Fractional positions:
Na 0.000 0.000 0.000
Mg 0.000 0.327 0.327
Mg 0.000 0.672 0.672
Mg 0.500 0.112 0.112
Mg 0.500 0.438 0.438
Mg 0.500 0.777 0.777

Calculated values
energy above the lowest structure with this stoichiometry: 4 meV/atom
energy of formation: 0.05 eV/atom
total magnetization: 0.00 μB per formula unit

=====

DFT (GGA-PBE) results for a geometry-optimized Na5Mg4 structure.

Cell lengths 8.476, 8.476, 8.476 Å; angles 92.91, 92.91, 153.94 degrees
Fractional positions:
Na 0.000 0.000 0.000
Na 0.330 0.330 0.660
Na 0.330 0.670 0.000
Na 0.670 0.330 0.000
Na 0.670 0.670 0.340
Mg 0.000 0.350 0.350
Mg 0.000 0.650 0.650
Mg 0.350 0.000 0.350
Mg 0.650 0.000 0.650

Calculated values
energy above the lowest structure with this stoichiometry: 0 meV/atom
energy of formation: 0.07 eV/atom
total magnetization: 0.00 μB per formula unit

=====

DFT (GGA-PBE) results for a geometry-optimized NaMg8 structure.

Cell lengths 8.346, 8.346, 8.346 Å; angles 92.16, 92.16, 157.62 degrees
Fractional positions:
Na 0.000 0.000 0.000
Mg 0.000 0.333 0.333
Mg 0.000 0.667 0.667
Mg 0.329 0.329 0.658
Mg 0.329 0.671 0.000
Mg 0.333 0.000 0.333
Mg 0.667 0.000 0.667
Mg 0.671 0.329 0.000
Mg 0.671 0.671 0.342

Calculated values
energy of formation: 0.06 eV/atom
total magnetization: 0.00 μB per formula unit

=====

DFT (GGA-PBE) results for a geometry-optimized NaMg4 structure.

Cell lengths 5.335, 5.335, 5.335 Å; angles 90.00, 90.00, 90.00 degrees
Fractional positions:
Na 0.000 0.000 0.000
Mg 0.000 0.000 0.500
Mg 0.000 0.500 0.000
Mg 0.500 0.000 0.000
Mg 0.500 0.500 0.500

Calculated values
energy above the lowest structure with this stoichiometry: 592 meV/atom
energy of formation: 0.66 eV/atom
total magnetization: 0.00 μB per formula unit